<1>
First-principles (PBE) data for GaH after structural relaxation, as listed in Alexandria via LeMat-Bulk.

Cell lengths 7.9305, 4.6278, 7.2521 Å; angles 90.00, 90.00, 90.00 degrees
Element x y z (fractional)
Ga (0.6586, 0.7500, 0.8441)
H (0.0693, 0.2500, 0.3528)
Ga (0.7953, 0.7500, 0.4564)
H (0.4307, 0.7500, 0.8528)
Ga (0.7047, 0.2500, 0.9564)
H (0.6243, 0.7500, 0.6047)
Ga (0.1586, 0.7500, 0.6559)
H (0.5693, 0.2500, 0.1472)
Ga (0.3414, 0.2500, 0.1559)
Ga (0.2953, 0.7500, 0.0436)
Ga (0.2047, 0.2500, 0.5436)
H (0.3757, 0.2500, 0.3953)
H (0.9307, 0.7500, 0.6472)
Ga (0.8414, 0.2500, 0.3441)
H (0.1243, 0.7500, 0.8953)
H (0.8757, 0.2500, 0.1047)

<2>
First-principles (PBE) data for GaH after structural relaxation, as listed in Alexandria via LeMat-Bulk.

Cell lengths 8.8451, 8.8451, 2.7515 Å; angles 90.00, 90.00, 90.00 degrees
Element x y z (fractional)
H (0.3678, 0.0639, 0.0000)
Ga (0.7839, 0.0347, 0.0000)
H (0.7071, 0.4583, 0.5000)
Ga (0.0347, 0.2161, 0.0000)
H (0.5417, 0.7071, 0.5000)
Ga (0.2711, 0.3440, 0.5000)
Ga (0.7289, 0.6560, 0.5000)
Ga (0.2161, 0.9653, 0.0000)
Ga (0.6560, 0.2711, 0.5000)
Ga (0.9653, 0.7839, 0.0000)
H (0.0639, 0.6322, 0.0000)
H (0.6322, 0.9361, 0.0000)
Ga (0.3440, 0.7289, 0.5000)
H (0.2929, 0.5417, 0.5000)
H (0.4583, 0.2929, 0.5000)
H (0.9361, 0.3678, 0.0000)

<3>
First-principles (PBE) data for GaH after structural relaxation, as listed in Alexandria via LeMat-Bulk.

Cell lengths 4.6677, 4.6677, 4.6677 Å; angles 90.00, 90.00, 90.00 degrees
Element x y z (fractional)
Ga (0.0000, 0.0000, 0.0000)
H (0.7500, 0.2500, 0.7500)
H (0.2500, 0.2500, 0.2500)
H (0.7500, 0.7500, 0.2500)
Ga (0.0000, 0.5000, 0.5000)
Ga (0.5000, 0.5000, 0.0000)
H (0.2500, 0.7500, 0.7500)
Ga (0.5000, 0.0000, 0.5000)

<4>
First-principles (PBE) data for GaH after structural relaxation, as listed in Alexandria via LeMat-Bulk.

Cell lengths 2.9874, 2.9874, 6.2535 Å; angles 90.00, 90.00, 120.00 degrees
Element x y z (fractional)
Ga (0.3333, 0.6667, 0.0399)
Ga (0.6667, 0.3333, 0.5399)
H (0.6667, 0.3333, 0.8351)
H (0.3333, 0.6667, 0.3351)

<1> comes first in stability; the runner-up is 105 meV/atom higher.

<1>
First-principles (PBE) data for GaH after structural relaxation, as listed in Alexandria via LeMat-Bulk.

Cell lengths 3.3414, 3.3414, 5.3194 Å; angles 90.00, 90.00, 120.00 degrees
Element x y z (fractional)
H (0.6667, 0.3333, 0.8514)
H (0.3333, 0.6667, 0.3514)
Ga (0.3333, 0.6667, 0.7306)
Ga (0.6667, 0.3333, 0.2306)

<2>
First-principles (PBE) data for GaH after structural relaxation, as listed in Alexandria via LeMat-Bulk.

Cell lengths 8.5940, 8.5940, 2.7255 Å; angles 90.00, 90.00, 120.00 degrees
Element x y z (fractional)
H (0.5059, 0.1527, 0.2500)
H (0.1527, 0.6467, 0.7500)
Ga (0.2105, 0.3013, 0.7500)
Ga (0.0908, 0.7895, 0.7500)
Ga (0.9092, 0.2105, 0.2500)
H (0.6467, 0.4941, 0.2500)
Ga (0.6987, 0.9092, 0.7500)
H (0.8473, 0.3533, 0.2500)
Ga (0.3013, 0.0908, 0.2500)
H (0.4941, 0.8473, 0.7500)
Ga (0.7895, 0.6987, 0.2500)
H (0.3533, 0.5059, 0.7500)

<2> comes first in stability; the runner-up is 238 meV/atom higher.

<1>
First-principles (PBE) data for Ga3H after structural relaxation, as listed in Alexandria via LeMat-Bulk.

Cell lengths 3.1040, 5.0821, 4.8459 Å; angles 121.63, 108.68, 90.00 degrees
Element x y z (fractional)
H (0.0000, 0.9181, 0.0000)
Ga (0.3168, 0.7329, 0.6337)
Ga (0.6832, 0.0992, 0.3663)
Ga (0.5000, 0.4165, 0.0000)

<2>
First-principles (PBE) data for Ga3H after structural relaxation, as listed in Alexandria via LeMat-Bulk.

Cell lengths 3.2442, 4.4256, 4.7678 Å; angles 90.00, 90.00, 90.00 degrees
Element x y z (fractional)
Ga (0.5000, 0.3846, 0.5000)
Ga (0.0000, 0.8686, 0.5000)
Ga (0.5000, 0.1578, 0.0000)
H (0.0000, 0.9224, 0.0000)

<2> comes first in stability; the runner-up is 11 meV/atom higher.

<1>
First-principles (PBE) data for Hf3GaH3 after structural relaxation, as listed in Alexandria via LeMat-Bulk.

Cell lengths 5.7508, 5.7508, 7.3560 Å; angles 66.99, 66.99, 60.00 degrees
Element x y z (fractional)
Hf (0.7750, 0.4152, 0.7160)
Hf (0.5848, 0.9061, 0.2840)
Hf (0.4152, 0.0939, 0.7160)
Ga (0.6665, 0.6665, 0.0005)
H (0.4772, 0.7910, 0.5957)
Ga (0.3335, 0.3335, 0.9995)
H (0.2090, 0.8639, 0.4043)
Hf (0.0939, 0.7750, 0.7160)
H (0.8639, 0.5228, 0.4043)
H (0.7910, 0.1361, 0.5957)
Hf (0.2250, 0.5848, 0.2840)
Hf (0.9061, 0.2250, 0.2840)
H (0.5228, 0.2090, 0.4043)
H (0.1361, 0.4772, 0.5957)

<2>
First-principles (PBE) data for Hf3GaH3 after structural relaxation, as listed in Alexandria via LeMat-Bulk.

Cell lengths 5.6391, 5.6391, 5.6391 Å; angles 90.00, 90.00, 90.00 degrees
Element x y z (fractional)
Hf (0.0000, 0.2500, 0.5000)
Hf (0.0000, 0.7500, 0.5000)
H (0.7500, 0.0000, 0.5000)
H (0.0000, 0.5000, 0.7500)
Hf (0.5000, 0.0000, 0.7500)
H (0.5000, 0.7500, 0.0000)
Hf (0.5000, 0.0000, 0.2500)
H (0.5000, 0.2500, 0.0000)
Ga (0.5000, 0.5000, 0.5000)
H (0.0000, 0.5000, 0.2500)
H (0.2500, 0.0000, 0.5000)
Hf (0.2500, 0.5000, 0.0000)
Hf (0.7500, 0.5000, 0.0000)
Ga (0.0000, 0.0000, 0.0000)

<2> comes first in stability; the runner-up is 71 meV/atom higher.

<1>
First-principles (PBE) data for Hf2GaH after structural relaxation, as listed in Alexandria via LeMat-Bulk.

Cell lengths 4.5102, 4.5102, 4.5102 Å; angles 60.00, 60.00, 60.00 degrees
Element x y z (fractional)
Hf (0.7500, 0.7500, 0.7500)
H (0.0000, 0.0000, 0.0000)
Hf (0.2500, 0.2500, 0.2500)
Ga (0.5000, 0.5000, 0.5000)

<2>
First-principles (PBE) data for Hf2GaH after structural relaxation, as listed in Alexandria via LeMat-Bulk.

Cell lengths 6.3852, 6.3852, 5.4849 Å; angles 54.40, 54.40, 90.00 degrees
Element x y z (fractional)
Ga (0.7500, 0.2500, 0.5000)
Hf (0.3750, 0.4508, 0.7500)
Hf (0.8750, 0.7992, 0.7500)
H (0.2500, 0.7500, 0.5000)
Hf (0.2008, 0.6250, 0.2500)
Ga (0.0000, 0.0000, 0.0000)
Hf (0.5492, 0.1250, 0.2500)
H (0.5000, 0.5000, 0.0000)

<2> comes first in stability; the runner-up is 341 meV/atom higher.